1.
Computed, not measured: a relaxed structure of LaTaN3 at the PBE level of DFT.

**Final energy**: -8.99 eV per atom
**Size of the total moment**: 0.20 μB/atom
**ρ**: 5.39 Mg/m³

Cell: 3.277 6.239 6.239 Å, 60.86 90.00 90.00°
Atoms (fractional coordinates):
1 La 0.000 0.000 0.000
2 Ta 0.500 0.323 0.323
3 N 0.000 0.182 0.566
4 N 0.000 0.566 0.182
5 N 0.500 0.148 0.148

2.
Computed, not measured: a relaxed structure of LaTaN3 at the PBE level of DFT.

**Final energy**: -9.21 eV per atom
**Size of the total moment**: 0.00 μB/atom
**ρ**: 8.98 Mg/m³

Cell: 3.550 5.322 3.542 Å, 90.00 90.00 90.00°
Atoms (fractional coordinates):
1 La 0.000 0.000 0.000
2 Ta 0.500 0.500 0.590
3 N 0.000 0.500 0.891
4 N 0.500 0.128 0.509
5 N 0.500 0.872 0.509

3.
Computed, not measured: a relaxed structure of LaTaN3 at the PBE level of DFT.

**Final energy**: -9.42 eV per atom
**Size of the total moment**: 0.00 μB/atom
**ρ**: 8.60 Mg/m³

Cell: 3.861 5.991 6.778 Å, 111.38 104.96 91.71°
Atoms (fractional coordinates):
1 La 0.000 0.000 0.000
2 La 0.187 0.716 0.387
3 Ta 0.459 0.427 0.916
4 Ta 0.707 0.263 0.473
5 N 0.242 0.400 0.569
6 N 0.375 0.059 0.790
7 N 0.584 0.416 0.234
8 N 0.621 0.079 0.677
9 N 0.626 0.947 0.244
10 N 0.979 0.564 0.955